Density functional theory data (GGA-PBE) for a geometry-optimized K2HPdRu structure.

Lattice parameters (Å, degrees): 5.691 3.480 5.691 90.00 90.00 90.00
Last column: magnetic moment on the atom in μB.
Element x y z (fractional)
Ru: 0.000 0.500 0.000  1.59
K: 0.000 0.000 0.500  0.00
K: 0.500 0.000 0.000  0.00
Pd: 0.500 0.500 0.500  0.03
H: 0.000 0.000 0.000  -0.01

Results
* final energy: -3.31 eV/atom
* total moment: 1.72 μB/f.u.
* ρ: 4.22 g cm⁻³
* E above lowest polymorph: 0 meV per atom